(1)
This record from Alexandria via LeMat-Bulk describes a relaxed Er12TlCu6 crystal. The functional is PBE.

Computed properties:
energy relative to the elements = -0.212 eV per atom
space-group type = Im-3, No. 204

Lattice parameters (Å, degrees): 8.4536 8.4536 8.4536 109.47 109.47 109.47
With the nearest neighbours (Å) after each atom.
Atoms (fractional coordinates):
Er: 0.2971 0.1082 0.8112  3 Cu 2.69-2.97
Er: 0.2971 0.4859 0.1888  3 Cu 2.69-2.97
Er: 0.7029 0.5141 0.8112  3 Cu 2.69-2.97
Er: 0.7029 0.8918 0.1888  3 Cu 2.69-2.97
Er: 0.1082 0.8112 0.2971  3 Cu 2.69-2.97
Er: 0.4859 0.1888 0.2971  3 Cu 2.69-2.97
Er: 0.5141 0.8112 0.7029  3 Cu 2.69-2.97
Er: 0.8918 0.1888 0.7029  3 Cu 2.69-2.97
Er: 0.8112 0.2971 0.1082  3 Cu 2.69-2.97
Er: 0.1888 0.2971 0.4859  3 Cu 2.69-2.97
Er: 0.8112 0.7029 0.5141  3 Cu 2.69-2.97
Er: 0.1888 0.7029 0.8918  3 Cu 2.69-2.97
Tl: 0.0000 0.0000 0.0000  12 Er 3.44
Cu: 0.3755 0.5000 0.8755  1 Cu 2.43, 2 Er 2.69
Cu: 0.6245 0.5000 0.1245  1 Cu 2.43, 2 Er 2.69
Cu: 0.5000 0.8755 0.3755  1 Cu 2.43, 2 Er 2.69
Cu: 0.5000 0.1245 0.6245  1 Cu 2.43, 2 Er 2.69
Cu: 0.8755 0.3755 0.5000  1 Cu 2.43, 2 Er 2.69
Cu: 0.1245 0.6245 0.5000  1 Cu 2.43, 2 Er 2.69

---

(2)
This record from Alexandria via LeMat-Bulk describes a relaxed VCu2S6 crystal. The functional is PBE.

Computed properties:
space-group type = P4_2/mnm, No. 136
energy relative to the elements, uncorrected = -0.051 eV per atom

Lattice parameters (Å, degrees): 5.5587 5.5587 10.5058 90.00 90.00 90.00
With the nearest neighbours (Å) after each atom.
Atoms (fractional coordinates):
V: 0.0000 0.0000 0.0000  6 S 2.27-2.42
V: 0.5000 0.5000 0.5000  6 S 2.27-2.42
Cu: 0.0000 0.0000 0.3342  6 S 2.31-2.46
Cu: 0.5000 0.5000 0.8342  6 S 2.31-2.46
Cu: 0.5000 0.5000 0.1658  6 S 2.31-2.46
Cu: 0.0000 0.0000 0.6658  6 S 2.31-2.46
S: 0.3128 0.3128 0.3358  1 V 2.27, 2 Cu 2.31-2.46
S: 0.6872 0.6872 0.3358  1 V 2.27, 2 Cu 2.31-2.46
S: 0.1872 0.8128 0.8358  1 V 2.27, 2 Cu 2.31-2.46
S: 0.8128 0.1872 0.8358  1 V 2.27, 2 Cu 2.31-2.46
S: 0.1872 0.8128 0.1642  1 V 2.27, 2 Cu 2.31-2.46
S: 0.8128 0.1872 0.1642  1 V 2.27, 2 Cu 2.31-2.46
S: 0.3128 0.3128 0.6642  1 V 2.27, 2 Cu 2.31-2.46
S: 0.6872 0.6872 0.6642  1 V 2.27, 2 Cu 2.31-2.46
S: 0.3074 0.3074 0.0000  2 Cu 2.31, 1 V 2.42
S: 0.6926 0.6926 0.0000  2 Cu 2.31, 1 V 2.42
S: 0.1926 0.8074 0.5000  2 Cu 2.31, 1 V 2.42
S: 0.8074 0.1926 0.5000  2 Cu 2.31, 1 V 2.42

---

(3)
This record from Alexandria via LeMat-Bulk describes a relaxed DyHoHg2 crystal. The functional is PBE.

Computed properties:
energy relative to the elements = -0.332 eV per atom
space-group type = R3m, No. 160

Lattice parameters (Å, degrees): 3.7272 3.7272 9.4285 78.60 78.60 60.00
With the nearest neighbours (Å) after each atom.
Atoms (fractional coordinates):
Dy: 0.5001 0.5001 0.4996  6 Hg 3.16
Ho: 0.6664 0.6664 0.0007  6 Hg 3.13-3.14
Hg: 0.0827 0.0827 0.7518  3 Ho 3.14, 3 Dy 3.16
Hg: 0.2507 0.2507 0.2480  3 Ho 3.13, 3 Dy 3.16

---

(4)
This record from Alexandria via LeMat-Bulk describes a relaxed AsSeBr2Cl crystal. The functional is PBE.

Computed properties:
relative energy among the computed polymorphs = 160 meV/atom
space-group type = P4/mmm, No. 123
energy relative to the elements, uncorrected = 0.421 eV per atom

Lattice parameters (Å, degrees): 5.1306 5.1306 5.6040 90.00 90.00 90.00
With the nearest neighbours (Å) after each atom.
Atoms (fractional coordinates):
As: 0.0000 0.0000 0.5000  2 Se 2.80
Se: 0.0000 0.0000 0.0000  4 Br 2.57, 2 As 2.80
Br: 0.0000 0.5000 0.0000  2 Se 2.57
Br: 0.5000 0.0000 0.0000  2 Se 2.57
Cl: 0.5000 0.5000 0.5000  4 As 3.63, 8 Br 3.80

---

| no. | uncorrected energy (eV/atom) |
| --- | --- |
| 1 | -4.512 |
| 2 | -4.726 |
| 3 | -2.778 |
| 4 | -2.244 |